Nd3Y2Mg | GGA-PBE | optimized geometry

Computed properties:
Energy of formation from the pure elements ... -0.018 eV/atom
N(E_F) ... 8.0 states/eV/f.u.
Mass density ... 5.41 g cm⁻³

Lattice parameters (Å, degrees): 3.6686 3.6686 14.4765 90.00 90.00 90.00
Space group P4/mmm (No. 123)
Asymmetric unit:
Nd 0.0000 0.0000 0.0000 [1 per cell]
Nd 0.0000 0.0000 0.3488 [2 per cell]
Y 0.5000 0.5000 0.1745 [2 per cell]
Mg 0.5000 0.5000 0.5000 [1 per cell]

***

Nd3Y4Mg | GGA-PBE | optimized geometry

Computed properties:
Energy of formation from the pure elements ... 0.003 eV/atom
N(E_F) ... 12.2 states/eV/f.u.
Mass density ... 5.18 g cm⁻³

Lattice parameters (Å, degrees): 11.4219 7.3018 6.2440 90.00 90.00 90.00
Space group Pmn2_1 (No. 31)
Asymmetric unit:
Nd 0.0000 0.1232 0.0000 [2 per cell]
Nd 0.2479 0.6218 0.6524 [4 per cell]
Y 0.0000 0.6289 0.9859 [2 per cell]
Y 0.0000 0.8686 0.4753 [2 per cell]
Y 0.2428 0.1263 0.6409 [4 per cell]
Mg 0.0000 0.3776 0.4935 [2 per cell]

***

Nd2Y5Mg | GGA-PBE | optimized geometry

Computed properties:
Energy of formation from the pure elements ... 0.018 eV/atom
N(E_F) ... 9.5 states/eV/f.u.
Mass density ... 4.92 g cm⁻³

Lattice parameters (Å, degrees): 7.0869 7.0869 10.1833 90.00 90.00 90.00
Space group I4/mmm (No. 139)
Asymmetric unit:
Nd 0.0000 0.5000 0.0000 [4 per cell]
Y 0.0000 0.0000 0.0000 [2 per cell]
Y 0.2500 0.2500 0.2500 [8 per cell]
Mg 0.0000 0.0000 0.5000 [2 per cell]

***

Nd2Y8Mg | GGA-PBE | optimized geometry

Computed properties:
Energy of formation from the pure elements ... 0.140 eV/atom
N(E_F) ... 18.4 states/eV/f.u.
Mass density ... 4.57 g cm⁻³

Lattice parameters (Å, degrees): 18.6739 6.9261 5.7594 90.00 92.23 90.00
Space group C2/m (No. 12)
Asymmetric unit:
Nd 0.2197 0.0000 0.2557 [4 per cell]
Y 0.0499 0.0000 0.2325 [4 per cell]
Y 0.1253 0.2366 0.7400 [8 per cell]
Y 0.1759 0.5000 0.2341 [4 per cell]
Mg 0.0000 0.5000 0.0000 [2 per cell]

***

Nd2YMg | GGA-PBE | optimized geometry

Computed properties:
Energy of formation from the pure elements ... 0.040 eV/atom
N(E_F) ... 4.9 states/eV/f.u.
Mass density ... 5.19 g cm⁻³

Lattice parameters (Å, degrees): 3.5823 3.5823 34.6907 90.00 90.00 120.00
Space group R3m (No. 160, hexagonal axes)
Asymmetric unit:
Nd 0.0000 0.0000 0.0000 [3 per cell]
Nd 0.0000 0.0000 0.1632 [3 per cell]
Y 0.0000 0.0000 0.5812 [3 per cell]
Mg 0.0000 0.0000 0.7483 [3 per cell]

***

Nd6Y12Mg | GGA-PBE | optimized geometry

Computed properties:
Energy of formation from the pure elements ... 0.116 eV/atom
N(E_F) ... 28.5 states/eV/f.u.
Mass density ... 5.13 g cm⁻³

Lattice parameters (Å, degrees): 12.0267 12.0267 15.1733 90.00 90.00 120.00
Space group R-3 (No. 148, hexagonal axes)
Asymmetric unit:
Nd 0.0155 0.5919 0.1854 [18 per cell]
Y 0.0026 0.8281 0.3124 [18 per cell]
Y 0.0478 0.1951 0.9152 [18 per cell]
Mg 0.0000 0.0000 0.5000 [3 per cell]

***

Nd8YMg2 | GGA-PBE | optimized geometry

Computed properties:
Energy of formation from the pure elements ... 0.007 eV/atom
N(E_F) ... 16.3 states/eV/f.u.
Mass density ... 5.90 g cm⁻³

Lattice parameters (Å, degrees): 17.9566 5.1716 8.2483 90.00 108.45 90.00
Space group C2/m (No. 12)
Asymmetric unit:
Nd 0.0498 0.0000 0.2338 [4 per cell]
Nd 0.0946 0.5000 0.9606 [4 per cell]
Nd 0.1413 0.0000 0.6984 [4 per cell]
Nd 0.1842 0.5000 0.4349 [4 per cell]
Y 0.0000 0.5000 0.5000 [2 per cell]
Mg 0.2270 0.0000 0.1341 [4 per cell]

***

NdYMg6 | GGA-PBE | optimized geometry

Computed properties:
Energy of formation from the pure elements ... -0.093 eV/atom
N(E_F) ... 8.6 states/eV/f.u.
Mass density ... 3.06 g cm⁻³

Lattice parameters (Å, degrees): 5.2131 6.7557 11.6875 90.00 90.00 90.00
Space group Amm2 (No. 38)
Asymmetric unit:
Nd 0.0000 0.0000 0.0000 [2 per cell]
Y 0.5000 0.0000 0.6675 [2 per cell]
Mg 0.0000 0.0000 0.4976 [2 per cell]
Mg 0.0000 0.2452 0.2516 [4 per cell]
Mg 0.5000 0.0000 0.1721 [2 per cell]
Mg 0.5000 0.2419 0.4148 [4 per cell]

***

Nd7YMg4 | GGA-PBE | optimized geometry

Computed properties:
Energy of formation from the pure elements ... 0.127 eV/atom
N(E_F) ... 14.2 states/eV/f.u.
Mass density ... 5.18 g cm⁻³

Lattice parameters (Å, degrees): 15.4790 5.8675 9.8726 90.00 121.21 90.00
Space group C2/m (No. 12)
Asymmetric unit:
Nd 0.0000 0.0000 0.0000 [2 per cell]
Nd 0.0825 0.5000 0.4269 [4 per cell]
Nd 0.1974 0.5000 0.8780 [4 per cell]
Nd 0.2461 0.0000 0.7109 [4 per cell]
Y 0.0000 0.5000 0.0000 [2 per cell]
Mg 0.0379 0.0000 0.6943 [4 per cell]
Mg 0.1744 0.0000 0.3441 [4 per cell]

***

Nd2YMg6 | GGA-PBE | optimized geometry

Computed properties:
Energy of formation from the pure elements ... -0.095 eV/atom
N(E_F) ... 5.7 states/eV/f.u.
Mass density ... 3.57 g cm⁻³

Lattice parameters (Å, degrees): 9.1686 9.1686 3.3402 90.00 90.00 120.00
Space group P6/mmm (No. 191)
Asymmetric unit:
Nd 0.3333 0.6667 0.0000 [2 per cell]
Y 0.0000 0.0000 0.0000 [1 per cell]
Mg 0.0000 0.3303 0.5000 [6 per cell]

***

Nd5YMg3 | GGA-PBE | optimized geometry

Computed properties:
Energy of formation from the pure elements ... 0.354 eV/atom
N(E_F) ... 12.9 states/eV/f.u.
Mass density ... 4.79 g cm⁻³

Lattice parameters (Å, degrees): 13.6948 8.2266 10.9569 90.00 97.66 90.00
Space group C2/m (No. 12)
Asymmetric unit:
Nd 0.0000 0.1706 0.0000 [4 per cell]
Nd 0.0098 0.0000 0.6369 [4 per cell]
Nd 0.1507 0.2903 0.7218 [8 per cell]
Nd 0.2422 0.5000 0.0309 [4 per cell]
Y 0.1037 0.5000 0.2666 [4 per cell]
Mg 0.0000 0.5000 0.0000 [2 per cell]
Mg 0.0000 0.5000 0.5000 [2 per cell]
Mg 0.1575 0.0000 0.2112 [4 per cell]
Mg 0.2229 0.0000 0.4946 [4 per cell]

***

Nd5Y6Mg | GGA-PBE | optimized geometry

Computed properties:
Energy of formation from the pure elements ... 0.021 eV/atom
N(E_F) ... 18.0 states/eV/f.u.
Mass density ... 5.39 g cm⁻³

Lattice parameters (Å, degrees): 5.1031 10.1481 15.2199 90.00 90.00 90.00
Space group Immm (No. 71)
Asymmetric unit:
Nd 0.0000 0.0000 0.0000 [2 per cell]
Nd 0.0000 0.0000 0.3323 [4 per cell]
Nd 0.0000 0.5000 0.3342 [4 per cell]
Y 0.0000 0.2481 0.5000 [4 per cell]
Y 0.0000 0.2530 0.1659 [8 per cell]
Mg 0.0000 0.5000 0.0000 [2 per cell]

***

Nd8Y3Mg | GGA-PBE | optimized geometry

Computed properties:
Energy of formation from the pure elements ... 0.534 eV/atom
N(E_F) ... 18.1 states/eV/f.u.
Mass density ... 5.44 g cm⁻³

Lattice parameters (Å, degrees): 8.7468 8.7468 11.5368 90.00 90.00 90.00
Space group I-42m (No. 121)
Asymmetric unit:
Nd 0.1266 0.1266 0.2493 [8 per cell]
Nd 0.2484 0.2484 0.0036 [8 per cell]
Y 0.0000 0.0000 0.5000 [2 per cell]
Y 0.0000 0.5000 0.2500 [4 per cell]
Mg 0.0000 0.0000 0.0000 [2 per cell]

***

Nd4Y5Mg | GGA-PBE | optimized geometry

Computed properties:
Energy of formation from the pure elements ... -0.006 eV/atom
N(E_F) ... 14.5 states/eV/f.u.
Mass density ... 5.33 g cm⁻³

Lattice parameters (Å, degrees): 3.6568 3.6568 24.3778 90.00 90.00 90.00
Space group P4/mmm (No. 123)
Asymmetric unit:
Nd 0.0000 0.0000 0.1040 [2 per cell]
Nd 0.0000 0.0000 0.3124 [2 per cell]
Y 0.5000 0.5000 0.0000 [1 per cell]
Y 0.5000 0.5000 0.2083 [2 per cell]
Y 0.5000 0.5000 0.4152 [2 per cell]
Mg 0.0000 0.0000 0.5000 [1 per cell]

***

NdYMg2 | GGA-PBE | optimized geometry

Computed properties:
Energy of formation from the pure elements ... 0.048 eV/atom
N(E_F) ... 5.0 states/eV/f.u.
Mass density ... 3.97 g cm⁻³

Lattice parameters (Å, degrees): 3.4930 3.4930 33.4902 90.00 90.00 120.00
Space group R3m (No. 160, hexagonal axes)
Asymmetric unit:
Nd 0.0000 0.0000 0.0000 [3 per cell]
Y 0.0000 0.0000 0.8308 [3 per cell]
Mg 0.0000 0.0000 0.2467 [3 per cell]
Mg 0.0000 0.0000 0.4170 [3 per cell]

***

Nd2Y3Mg2 | GGA-PBE | optimized geometry

Computed properties:
Energy of formation from the pure elements ... 0.025 eV/atom
N(E_F) ... 9.3 states/eV/f.u.
Mass density ... 4.61 g cm⁻³

Lattice parameters (Å, degrees): 3.7684 31.3393 3.6801 90.00 90.00 90.00
Space group Cmmm (No. 65)
Asymmetric unit:
Nd 0.0000 0.2032 0.0000 [4 per cell]
Y 0.0000 0.0771 0.0000 [4 per cell]
Y 0.0000 0.5000 0.5000 [2 per cell]
Mg 0.0000 0.3622 0.5000 [4 per cell]

***

Nd4YMg5 | GGA-PBE | optimized geometry

Computed properties:
Energy of formation from the pure elements ... -0.109 eV/atom
N(E_F) ... 12.1 states/eV/f.u.
Mass density ... 4.51 g cm⁻³

Lattice parameters (Å, degrees): 3.8665 3.8665 19.3948 90.00 90.00 90.00
Space group P4/mmm (No. 123)
Asymmetric unit:
Nd 0.0000 0.0000 0.1014 [2 per cell]
Nd 0.0000 0.0000 0.3031 [2 per cell]
Y 0.0000 0.0000 0.5000 [1 per cell]
Mg 0.5000 0.5000 0.0000 [1 per cell]
Mg 0.5000 0.5000 0.2023 [2 per cell]
Mg 0.5000 0.5000 0.4046 [2 per cell]

***

NdY5Mg4 | GGA-PBE | optimized geometry

Computed properties:
Energy of formation from the pure elements ... -0.079 eV/atom
N(E_F) ... 14.7 states/eV/f.u.
Mass density ... 3.95 g cm⁻³

Lattice parameters (Å, degrees): 3.7589 3.7589 20.4007 90.00 90.00 90.00
Space group P4/mmm (No. 123)
Asymmetric unit:
Nd 0.0000 0.0000 0.0000 [1 per cell]
Y 0.5000 0.5000 0.1216 [2 per cell]
Y 0.5000 0.5000 0.3112 [2 per cell]
Y 0.5000 0.5000 0.5000 [1 per cell]
Mg 0.0000 0.0000 0.2171 [2 per cell]
Mg 0.0000 0.0000 0.4051 [2 per cell]

***

Nd12YMg3 | GGA-PBE | optimized geometry

Computed properties:
Energy of formation from the pure elements ... 0.000 eV/atom
N(E_F) ... 26.1 states/eV/f.u.
Mass density ... 6.01 g cm⁻³

Lattice parameters (Å, degrees): 5.0613 5.0613 20.4293 90.00 90.00 90.00
Space group P4/mmm (No. 123)
Asymmetric unit:
Nd 0.0000 0.0000 0.0000 [1 per cell]
Nd 0.0000 0.0000 0.2466 [2 per cell]
Nd 0.0000 0.0000 0.5000 [1 per cell]
Nd 0.0000 0.5000 0.1233 [4 per cell]
Nd 0.0000 0.5000 0.3714 [4 per cell]
Y 0.5000 0.5000 0.5000 [1 per cell]
Mg 0.5000 0.5000 0.0000 [1 per cell]
Mg 0.5000 0.5000 0.2457 [2 per cell]

***

Nd8Y2Mg | GGA-PBE | optimized geometry

Computed properties:
Energy of formation from the pure elements ... 0.138 eV/atom
N(E_F) ... 16.3 states/eV/f.u.
Mass density ... 5.98 g cm⁻³

Lattice parameters (Å, degrees): 16.5009 6.8001 6.8386 90.00 101.28 90.00
Space group C2/m (No. 12)
Asymmetric unit:
Nd 0.0801 0.2409 0.3849 [8 per cell]
Nd 0.0984 0.0000 0.9206 [4 per cell]
Nd 0.2468 0.5000 0.3245 [4 per cell]
Y 0.1840 0.5000 0.8032 [4 per cell]
Mg 0.0000 0.5000 0.0000 [2 per cell]

***

| no. | energy (eV per cell) |
| --- | --- |
| 1 | -28.93 |
| 2 | -83.46 |
| 3 | -86.61 |
| 4 | -122.60 |
| 5 | -52.30 |
| 6 | -316.72 |
| 7 | -95.44 |
| 8 | -43.08 |
| 9 | -89.38 |
| 10 | -26.42 |
| 11 | -127.62 |
| 12 | -127.94 |
| 13 | -105.45 |
| 14 | -53.05 |
| 15 | -42.69 |
| 16 | -63.88 |
| 17 | -34.60 |
| 18 | -44.26 |
| 19 | -68.46 |
| 20 | -102.29 |